LiMgCd4 | PBE-GGA | relaxed Values from VASP.

Geometry as Quantum ESPRESSO input:
```
&SYSTEM
  ibrav = 0, nat = 6, ntyp = 3
/
ATOMIC_SPECIES
Li 6.94 Li.upf
Mg 24.30 Mg.upf
Cd 112.41 Cd.upf
CELL_PARAMETERS angstrom
0.0000 4.0772 4.0772
4.0772 0.0000 4.0772
4.0772 4.0772 0.0000
ATOMIC_POSITIONS angstrom
Li 0.0000 0.0000 0.0000
Mg 6.1157 6.1157 6.1157
Cd 3.0567 3.0567 3.0567
Cd 5.0976 5.0976 3.0567
Cd 5.0976 3.0567 5.0976
Cd 3.0567 5.0976 5.0976
```

Energy relative to the elements   -0.059 eV/atom
E_tot   -1.253 eV/atom
Offset from the most stable computed form   0.077 eV/atom
Fermi-level density of states   2.83 states/eV per cell

---

Li2Mg3Cd4 | PBE-GGA | relaxed Values from VASP.

Geometry as Quantum ESPRESSO input:
```
&SYSTEM
  ibrav = 0, nat = 9, ntyp = 3
/
ATOMIC_SPECIES
Li 6.94 Li.upf
Mg 24.30 Mg.upf
Cd 112.41 Cd.upf
CELL_PARAMETERS angstrom
4.5297 0.0000 0.0000
2.2610 4.8040 0.0000
2.2519 1.8038 8.5379
ATOMIC_POSITIONS angstrom
Li 2.2602 2.3117 2.4181
Li 6.7824 4.2960 6.1198
Mg 4.5120 5.1869 8.0096
Mg 4.5213 3.3039 4.2690
Mg 4.5306 1.4208 0.5283
Cd 2.2560 1.4540 5.2235
Cd 4.5195 2.3688 7.1347
Cd 4.5231 4.2389 1.4032
Cd 6.7866 5.1537 3.3144
```

Energy relative to the elements   -0.151 eV/atom
E_tot   -1.515 eV/atom
Offset from the most stable computed form   0.000 eV/atom
Fermi-level density of states   2.91 states/eV per cell

---

Li3Mg4Cd | PBE-GGA | relaxed Values from VASP.

Geometry as Quantum ESPRESSO input:
```
&SYSTEM
  ibrav = 0, nat = 8, ntyp = 3
/
ATOMIC_SPECIES
Li 6.94 Li.upf
Mg 24.30 Mg.upf
Cd 112.41 Cd.upf
CELL_PARAMETERS angstrom
3.4509 0.0000 0.0000
0.0000 4.8401 0.0000
0.0000 0.0000 9.7107
ATOMIC_POSITIONS angstrom
Li 0.0000 0.0000 0.0000
Li 0.0000 2.4201 2.4155
Li 0.0000 2.4201 7.2952
Mg 1.7255 0.0000 2.3765
Mg 1.7255 0.0000 7.3342
Mg 1.7255 2.4201 0.0000
Mg 1.7255 2.4201 4.8553
Cd 0.0000 0.0000 4.8553
```

Energy relative to the elements   -0.096 eV/atom
E_tot   -1.725 eV/atom
Offset from the most stable computed form   0.006 eV/atom
Fermi-level density of states   3.18 states/eV per cell

---

Li4Mg3Cd2 | PBE-GGA | relaxed Values from VASP.

Geometry as Quantum ESPRESSO input:
```
&SYSTEM
  ibrav = 0, nat = 9, ntyp = 3
/
ATOMIC_SPECIES
Li 6.94 Li.upf
Mg 24.30 Mg.upf
Cd 112.41 Cd.upf
CELL_PARAMETERS angstrom
4.3677 0.0000 0.0000
-2.1585 4.6900 0.0000
-0.0151 -2.4832 8.6523
ATOMIC_POSITIONS angstrom
Li -0.0031 -0.4214 1.4896
Li 0.0081 1.6134 5.2701
Li 2.1859 0.5934 3.3822
Li 2.1971 2.6282 7.1626
Mg -0.0076 -1.2416 4.3261
Mg 0.0032 0.7968 8.1264
Mg 2.1908 1.4100 0.5258
Cd 0.0099 2.3911 2.4184
Cd 2.1841 -0.1843 6.2338
```

Energy relative to the elements   -0.147 eV/atom
E_tot   -1.732 eV/atom
Offset from the most stable computed form   0.006 eV/atom
Fermi-level density of states   2.12 states/eV per cell

---

Li2MgCd3 | PBE-GGA | relaxed Values from VASP.

Geometry as Quantum ESPRESSO input:
```
&SYSTEM
  ibrav = 0, nat = 6, ntyp = 3
/
ATOMIC_SPECIES
Li 6.94 Li.upf
Mg 24.30 Mg.upf
Cd 112.41 Cd.upf
CELL_PARAMETERS angstrom
3.3245 0.0000 0.0000
0.0000 3.3245 0.0000
0.0000 0.0000 10.4500
ATOMIC_POSITIONS angstrom
Li 0.0000 0.0000 1.6549
Li 0.0000 0.0000 8.7950
Mg 0.0000 0.0000 5.2250
Cd 1.6622 1.6622 0.0000
Cd 1.6622 1.6622 3.2724
Cd 1.6622 1.6622 7.1776
```

Energy relative to the elements   -0.228 eV/atom
E_tot   -1.589 eV/atom
Fermi-level density of states   1.45 states/eV per cell

---

Li12Mg5Cd2 | PBE-GGA | relaxed Values from VASP.

Geometry as Quantum ESPRESSO input:
```
&SYSTEM
  ibrav = 0, nat = 19, ntyp = 3
/
ATOMIC_SPECIES
Li 6.94 Li.upf
Mg 24.30 Mg.upf
Cd 112.41 Cd.upf
CELL_PARAMETERS angstrom
10.1432 -4.1805 0.0000
10.1432 4.1805 0.0000
-1.0533 0.0000 4.5577
ATOMIC_POSITIONS angstrom
Li 5.4025 2.2234 3.6792
Li 1.6412 0.0000 0.3928
Li 7.9673 2.4050 1.8888
Li 11.2658 2.4050 2.6689
Li 7.1498 0.0000 4.0968
Li 13.8307 2.2234 0.8785
Li 5.4025 -2.2234 3.6792
Li 12.0833 0.0000 0.4609
Li 7.9673 -2.4050 1.8888
Li 11.2658 -2.4050 2.6689
Li 17.5919 0.0000 4.1650
Li 13.8307 -2.2234 0.8785
Mg 3.4478 0.0000 3.2355
Mg 5.9705 0.0000 1.4196
Mg 9.6166 0.0000 2.2789
Mg 13.2626 0.0000 3.1381
Mg 15.7853 0.0000 1.3222
Cd 10.1432 1.9299 0.0000
Cd 10.1432 -1.9299 0.0000
```

Energy relative to the elements   -0.069 eV/atom
E_tot   -1.794 eV/atom
Offset from the most stable computed form   0.000 eV/atom
Fermi-level density of states   7.19 states/eV per cell

---

Li3MgCd | PBE-GGA | relaxed Values from VASP.

Geometry as Quantum ESPRESSO input:
```
&SYSTEM
  ibrav = 0, nat = 10, ntyp = 3
/
ATOMIC_SPECIES
Li 6.94 Li.upf
Mg 24.30 Mg.upf
Cd 112.41 Cd.upf
CELL_PARAMETERS angstrom
4.6622 -2.2201 0.0000
4.6622 2.2201 0.0000
-0.2852 0.0000 9.4980
ATOMIC_POSITIONS angstrom
Li 0.4977 0.0000 1.3423
Li 1.2864 0.0000 4.3001
Li 2.0365 0.0000 7.2434
Li 7.0028 0.0000 2.2545
Li 7.7528 0.0000 5.1978
Li 8.5416 0.0000 8.1557
Mg 4.1326 0.0000 3.2883
Mg 4.9067 0.0000 6.2097
Cd 3.2526 0.0000 0.4816
Cd 5.7867 0.0000 9.0164
```

Energy relative to the elements   -0.127 eV/atom
E_tot   -1.777 eV/atom
Offset from the most stable computed form   0.000 eV/atom
Fermi-level density of states   3.80 states/eV per cell

---

Li7Mg2Cd2 | PBE-GGA | relaxed Values from VASP.

Geometry as Quantum ESPRESSO input:
```
&SYSTEM
  ibrav = 0, nat = 11, ntyp = 3
/
ATOMIC_SPECIES
Li 6.94 Li.upf
Mg 24.30 Mg.upf
Cd 112.41 Cd.upf
CELL_PARAMETERS angstrom
3.6928 -4.3663 0.0000
3.6928 4.3663 0.0000
-1.6447 0.0000 7.0013
ATOMIC_POSITIONS angstrom
Li 0.0000 0.0000 0.0000
Li 0.8026 1.7020 5.7428
Li 0.4922 0.0000 2.9657
Li 0.8026 -1.7020 5.7428
Li 4.9383 1.7020 1.2585
Li 5.2487 0.0000 4.0356
Li 4.9383 -1.7020 1.2585
Mg 2.8704 1.6784 3.5007
Mg 2.8704 -1.6784 3.5007
Cd 2.6589 0.0000 1.0735
Cd 3.0819 0.0000 5.9279
```

Energy relative to the elements   -0.103 eV/atom
E_tot   -1.777 eV/atom
Offset from the most stable computed form   0.032 eV/atom
Fermi-level density of states   4.13 states/eV per cell

---

Li6Mg8Cd | PBE-GGA | relaxed Values from VASP.

Geometry as Quantum ESPRESSO input:
```
&SYSTEM
  ibrav = 0, nat = 15, ntyp = 3
/
ATOMIC_SPECIES
Li 6.94 Li.upf
Mg 24.30 Mg.upf
Cd 112.41 Cd.upf
CELL_PARAMETERS angstrom
3.8803 2.2403 6.1632
-3.8803 2.2403 6.1632
0.0000 -4.4806 6.1632
ATOMIC_POSITIONS angstrom
Li -2.8335 -0.6778 8.4939
Li -0.8297 -2.7928 9.9957
Li -2.0038 2.1150 9.9957
Li 2.0038 -2.1150 8.4939
Li 0.8297 2.7928 8.4939
Li 2.8335 0.6778 9.9957
Mg 0.0000 0.0000 1.5185
Mg -0.6079 -1.7019 6.7954
Mg -1.1700 1.3774 6.7954
Mg -1.7779 -0.3245 11.6942
Mg 1.7779 0.3245 6.7954
Mg 1.1700 -1.3774 11.6942
Mg 0.6079 1.7020 11.6942
Mg 0.0000 0.0000 16.9711
Cd 0.0000 0.0000 9.2448
```

Energy relative to the elements   -0.045 eV/atom
E_tot   -1.722 eV/atom
Offset from the most stable computed form   0.000 eV/atom
Fermi-level density of states   5.66 states/eV per cell

---

Li2Mg3Cd3 | PBE-GGA | relaxed Values from VASP.

Geometry as Quantum ESPRESSO input:
```
&SYSTEM
  ibrav = 0, nat = 8, ntyp = 3
/
ATOMIC_SPECIES
Li 6.94 Li.upf
Mg 24.30 Mg.upf
Cd 112.41 Cd.upf
CELL_PARAMETERS angstrom
3.7691 0.0000 0.0000
-0.0120 4.6470 0.0000
-1.8657 -2.2755 9.3602
ATOMIC_POSITIONS angstrom
Li 0.0054 0.0237 4.6559
Li 1.8860 2.3478 4.7042
Mg 0.0000 0.0000 0.0000
Mg -0.0074 2.3442 2.3789
Mg 1.8988 0.0273 6.9812
Cd 0.0107 2.3496 6.8347
Cd 1.8785 2.3235 0.0000
Cd 1.8808 0.0219 2.5255
```

Energy relative to the elements   -0.143 eV/atom
E_tot   -1.563 eV/atom
Fermi-level density of states   2.08 states/eV per cell

---

| no. | magnetization (μB per formula unit) |
| --- | --- |
| 1 | 0.0 |
| 2 | 0.0 |
| 3 | 0.0 |
| 4 | 0.0 |
| 5 | 0.0 |
| 6 | 0.0 |
| 7 | 0.0 |
| 8 | 0.0 |
| 9 | 0.0 |
| 10 | 0.0 |